Entry 1:
This record from Alexandria via LeMat-Bulk describes CaTl2Hg2 after structural relaxation. The functional is GGA-PBE.

Cell and atoms, written as POSCAR:
```
CaTl2Hg2
1.0
8.5566 0.0000 0.0000
0.0000 8.5566 0.0000
0.0000 0.0000 3.9686
Ca Tl Hg
2 4 4
Direct
0.0000 0.0000 0.0000
0.5000 0.5000 0.0000
0.1333 0.3667 0.0000
0.3667 0.8667 0.0000
0.6333 0.1333 0.0000
0.8667 0.6333 0.0000
0.1665 0.6665 0.5000
0.3335 0.1665 0.5000
0.6665 0.8335 0.5000
0.8335 0.3335 0.5000
```

The total magnetic moment comes out at 0.00 μB/f.u. The value obtained for the energy of formation from the pure elements is -0.126 eV per atom. For the relative energy among the computed polymorphs, the calculation gives 0.094 eV/atom. Its space group is P4/mbm, No. 127.


Entry 2:
This record from Alexandria via LeMat-Bulk describes Cs2TiRhBr6 after structural relaxation. The functional is GGA-PBE.

Cell and atoms, written as POSCAR:
```
Cs2TiRhBr6
1.0
0.0000 5.3880 5.3880
5.3880 0.0000 5.3880
5.3880 5.3880 0.0000
Cs Ti Rh Br
2 1 1 6
Direct
0.2500 0.2500 0.2500
0.7500 0.7500 0.7500
0.0000 0.0000 0.0000
0.5000 0.5000 0.5000
0.2448 0.2448 0.7552
0.2448 0.7552 0.2448
0.2448 0.7552 0.7552
0.7552 0.2448 0.2448
0.7552 0.2448 0.7552
0.7552 0.7552 0.2448
```

The total magnetic moment comes out at 2.98 μB/f.u. As for the formation energy without anion corrections: -10.78 eV per formula unit. Its space group is Fm-3m, No. 225.


Entry 3:
This record from Alexandria via LeMat-Bulk describes Sc2Sb after structural relaxation. The functional is GGA-PBE.

Cell and atoms, written as POSCAR:
```
Sc2Sb
1.0
-2.1356 2.1356 15.1957
2.1356 -2.1356 15.1957
2.1356 2.1356 -15.1957
Sc Sb
8 4
Direct
0.1223 0.3723 0.7500
0.2886 0.5386 0.7500
0.3723 0.1223 0.2500
0.4614 0.7114 0.7500
0.5386 0.2886 0.2500
0.6277 0.8777 0.7500
0.7114 0.4614 0.2500
0.8777 0.6277 0.2500
0.0519 0.8019 0.2500
0.1981 0.9481 0.2500
0.8019 0.0519 0.7500
0.9481 0.1981 0.7500
```

The total magnetic moment comes out at 0.96 μB/f.u. As for the formation energy without anion corrections: -1.92 eV per formula unit. Its space group is I4_1/amd, No. 141.


Entry 4:
This record from Alexandria via LeMat-Bulk describes ScTcPt2 after structural relaxation. The functional is GGA-PBE.

Cell and atoms, written as POSCAR:
```
ScTcPt2
1.0
2.8443 0.0000 0.0000
0.0000 2.8443 0.0000
0.0000 0.0000 8.0893
Sc Tc Pt
1 1 2
Direct
0.0000 0.0000 0.0000
0.5000 0.5000 0.2711
0.0000 0.0000 0.4927
0.5000 0.5000 0.7546
```

The total magnetic moment comes out at 0.00 μB/f.u. The value obtained for the energy of formation from the pure elements is -0.388 eV per atom. For the relative energy among the computed polymorphs, the calculation gives 0.246 eV/atom. Its space group is P4mm, No. 99.


Entry 5:
This record from Alexandria via LeMat-Bulk describes MgSc2PbN after structural relaxation. The functional is GGA-PBE.

Cell and atoms, written as POSCAR:
```
MgSc2PbN
1.0
4.4954 0.0000 0.0000
0.0000 4.4954 0.0000
0.0000 0.0000 4.4152
Mg Sc Pb N
1 2 1 1
Direct
0.0000 0.0000 0.0000
0.0000 0.5000 0.5000
0.5000 0.0000 0.5000
0.5000 0.5000 0.0000
0.0000 0.0000 0.5000
```

The total magnetic moment comes out at 0.00 μB/f.u. As for the formation energy without anion corrections: -4.36 eV per formula unit. Its space group is P4/mmm, No. 123.


Entry 6:
This record from Alexandria via LeMat-Bulk describes LuTiTlPb after structural relaxation. The functional is GGA-PBE.

Cell and atoms, written as POSCAR:
```
LuTiTlPb
1.0
0.0000 3.6374 3.6374
3.6374 0.0000 3.6374
3.6374 3.6374 0.0000
Lu Ti Tl Pb
1 1 1 1
Direct
0.0000 0.0000 0.0000
0.5000 0.5000 0.5000
0.2500 0.2500 0.2500
0.7500 0.7500 0.7500
```

The total magnetic moment comes out at 2.24 μB/f.u. The value obtained for the energy of formation from the pure elements is 0.007 eV per atom. Its space group is F-43m, No. 216.


These records have calculated volume values of 29.1, 31.3, 23.1, 16.4, 17.8, 24.1 Å³ per atom, in the order they appear.
These records have density of states at the Fermi level values of 5.01, 8.42, 13.60, 3.41, 1.80, 4.32 states/eV per cell, in the order they appear.